Run one
Pa2AlGa3: relaxed, PBE.

a = 5.2383 Å, b = 5.7875 Å, c = 7.9942 Å
α = 90.00°, β = 90.00°, γ = 90.00°
Element x y z (fractional)
Pa1 0.2500 0.0000 0.0858
Pa2 0.2500 0.5000 0.3730
Pa3 0.7500 0.0000 0.9142
Pa4 0.7500 0.5000 0.6270
Al1 0.2500 0.0000 0.4551
Al2 0.7500 0.0000 0.5449
Ga1 0.0000 0.5000 0.0000
Ga2 0.2500 0.2457 0.7396
Ga3 0.2500 0.7543 0.7396
Ga4 0.5000 0.5000 0.0000
Ga5 0.7500 0.2457 0.2604
Ga6 0.7500 0.7543 0.2604

density of states at the Fermi level = 17.47 states/eV/cell


Run two
Pa2AlGa3: relaxed, PBE.

a = 5.6188 Å, b = 5.6188 Å, c = 8.5629 Å
α = 90.00°, β = 90.00°, γ = 120.00°
Element x y z (fractional)
Pa1 0.3333 0.6667 0.0866
Pa2 0.3333 0.6667 0.4134
Pa3 0.6667 0.3333 0.5866
Pa4 0.6667 0.3333 0.9134
Al1 0.0000 0.0000 0.0000
Al2 0.0000 0.0000 0.5000
Ga1 0.1756 0.3513 0.7500
Ga2 0.1756 0.8244 0.7500
Ga3 0.3513 0.1756 0.2500
Ga4 0.6487 0.8244 0.7500
Ga5 0.8244 0.1756 0.2500
Ga6 0.8244 0.6487 0.2500

density of states at the Fermi level = 17.67 states/eV/cell


What should be chosen as the most stable of them? Choose run two.


Run one
PaAl4Ga: relaxed, PBE.

a = 5.4514 Å, b = 5.4514 Å, c = 5.4514 Å
α = 60.00°, β = 60.00°, γ = 60.00°
Element x y z (fractional)
Pa1 0.0000 0.0000 0.0000
Al1 0.3751 0.3751 0.3751
Al2 0.3751 0.3751 0.8747
Al3 0.3751 0.8747 0.3751
Al4 0.8747 0.3751 0.3751
Ga1 0.7500 0.7500 0.7500

density of states at the Fermi level = 7.54 states/eV/cell


Run two
PaAl4Ga: relaxed, PBE.

a = 6.6238 Å, b = 6.6238 Å, c = 4.2955 Å
α = 90.00°, β = 90.00°, γ = 143.10°
Element x y z (fractional)
Pa1 0.0000 0.0000 0.0000
Al1 0.1718 0.8282 0.5000
Al2 0.3201 0.6799 0.0000
Al3 0.6799 0.3201 0.0000
Al4 0.8282 0.1718 0.5000
Ga1 0.5000 0.5000 0.5000

density of states at the Fermi level = 5.00 states/eV/cell


What should be chosen as the most stable of them? Choose run two.


Run one
PaAl2Ga2: relaxed, PBE.

a = 4.6893 Å, b = 4.6893 Å, c = 11.6340 Å
α = 90.00°, β = 90.00°, γ = 120.00°
Element x y z (fractional)
Pa1 0.0000 0.0000 0.2500
Pa2 0.0000 0.0000 0.7500
Al1 0.3333 0.6667 0.1068
Al2 0.3333 0.6667 0.3932
Al3 0.6667 0.3333 0.6068
Al4 0.6667 0.3333 0.8932
Ga1 0.0000 0.0000 0.0000
Ga2 0.0000 0.0000 0.5000
Ga3 0.3333 0.6667 0.7500
Ga4 0.6667 0.3333 0.2500

density of states at the Fermi level = 8.83 states/eV/cell


Run two
PaAl2Ga2: relaxed, PBE.

a = 4.7216 Å, b = 4.7216 Å, c = 11.8725 Å
α = 90.00°, β = 90.00°, γ = 120.00°
Element x y z (fractional)
Pa1 0.0000 0.0000 0.2500
Pa2 0.0000 0.0000 0.7500
Al1 0.0000 0.0000 0.0000
Al2 0.0000 0.0000 0.5000
Al3 0.3333 0.6667 0.2500
Al4 0.6667 0.3333 0.7500
Ga1 0.3333 0.6667 0.6185
Ga2 0.3333 0.6667 0.8815
Ga3 0.6667 0.3333 0.1185
Ga4 0.6667 0.3333 0.3815

density of states at the Fermi level = 11.61 states/eV/cell


What should be chosen as the most stable of them? Choose run one.


Run one
PaAlGa4: relaxed, PBE.

a = 5.2822 Å, b = 5.2822 Å, c = 4.9690 Å
α = 100.65°, β = 100.65°, γ = 114.12°
Element x y z (fractional)
Pa1 0.0000 0.0000 0.0000
Al1 0.5000 0.5000 0.5000
Ga1 0.1951 0.8049 0.5000
Ga2 0.3474 0.6526 0.0000
Ga3 0.6526 0.3474 0.0000
Ga4 0.8049 0.1951 0.5000

density of states at the Fermi level = 5.28 states/eV/cell


Run two
PaAlGa4: relaxed, PBE.

a = 5.4470 Å, b = 5.4470 Å, c = 5.4470 Å
α = 60.00°, β = 60.00°, γ = 60.00°
Element x y z (fractional)
Pa1 0.0000 0.0000 0.0000
Al1 0.2500 0.2500 0.2500
Ga1 0.1265 0.6245 0.6245
Ga2 0.6245 0.1265 0.6245
Ga3 0.6245 0.6245 0.1265
Ga4 0.6245 0.6245 0.6245

density of states at the Fermi level = 7.98 states/eV/cell


What should be chosen as the most stable of them? Choose run two.